[1]
This record from Alexandria describes a relaxed Zr2AlMo crystal. The functional is PBE-GGA.

Space group = P4/mmm
Total magnetic moment = 0.0 μB per formula unit
E = -0.6030 Ry/atom
DOS at the Fermi energy = 3.05 states/eV/f.u.

Lattice parameters (Å, degrees): 3.448 3.448 6.460 90.00 90.00 90.00
Atoms (fractional coordinates):
Mo1 0.500 0.500 0.750
Al1 0.500 0.500 0.250
Zr1 0.000 0.000 0.990
Zr2 0.000 0.000 0.510

---

[2]
This record from Alexandria describes a relaxed ZrAlMo2 crystal. The functional is PBE-GGA.

Space group = I-4m2
Total magnetic moment = 0.0 μB per formula unit
E = -0.6297 Ry/atom
DOS at the Fermi energy = 3.33 states/eV/f.u.

Lattice parameters (Å, degrees): 4.622 4.622 4.622 121.11 121.11 88.09
Atoms (fractional coordinates):
Mo1 0.000 0.000 0.000
Mo2 0.250 0.750 0.500
Al1 0.750 0.250 0.500
Zr1 0.500 0.500 0.000

---

[3]
This record from Alexandria describes a relaxed ZrAl2Mo2 crystal. The functional is PBE-GGA.

Space group = P4/mbm
Total magnetic moment = 0.0 μB per formula unit
Excess energy over the best structure of this formula in the dataset = 0 meV/atom
E = -0.5712 Ry/atom
DOS at the Fermi energy = 1.72 states/eV/f.u.

Lattice parameters (Å, degrees): 7.027 7.027 3.400 90.00 90.00 90.00
Atoms (fractional coordinates):
Mo1 0.172 0.672 0.500
Mo2 0.672 0.828 0.500
Mo3 0.828 0.328 0.500
Mo4 0.328 0.172 0.500
Al1 0.375 0.875 0.000
Al2 0.875 0.625 0.000
Al3 0.625 0.125 0.000
Al4 0.125 0.375 0.000
Zr1 0.000 0.000 0.000
Zr2 0.500 0.500 0.000

---

[4]
This record from Alexandria describes a relaxed Zr2AlMo crystal. The functional is PBE-GGA.

Space group = C2/m
Total magnetic moment = 0.0 μB per formula unit
E = -0.5811 Ry/atom
DOS at the Fermi energy = 3.18 states/eV/f.u.

Lattice parameters (Å, degrees): 5.112 5.112 5.329 84.69 84.69 33.83
Atoms (fractional coordinates):
Mo1 0.250 0.250 0.250
Al1 0.750 0.750 0.750
Zr1 0.011 0.011 0.998
Zr2 0.489 0.489 0.502

---

[5]
This record from Alexandria describes a relaxed Zr2AlMo crystal. The functional is PBE-GGA.

Space group = R-3m
Total magnetic moment = 0.0 μB per formula unit
E = -0.5807 Ry/atom
DOS at the Fermi energy = 3.72 states/eV/f.u.

Lattice parameters (Å, degrees): 8.990 8.990 8.990 20.83 20.83 20.83
Atoms (fractional coordinates):
Mo1 0.750 0.750 0.750
Al1 0.250 0.250 0.250
Zr1 0.005 0.005 0.005
Zr2 0.495 0.495 0.495

---

[6]
This record from Alexandria describes a relaxed Zr2AlMo2 crystal. The functional is PBE-GGA.

Space group = P4/mbm
Total magnetic moment = 0.0 μB per formula unit
E = -0.6223 Ry/atom
DOS at the Fermi energy = 4.72 states/eV/f.u.

Lattice parameters (Å, degrees): 6.834 6.834 4.183 90.00 90.00 90.00
Atoms (fractional coordinates):
Mo1 0.374 0.874 0.000
Mo2 0.874 0.626 0.000
Mo3 0.626 0.126 0.000
Mo4 0.126 0.374 0.000
Al1 0.000 0.000 0.000
Al2 0.500 0.500 0.000
Zr1 0.178 0.678 0.500
Zr2 0.678 0.822 0.500
Zr3 0.822 0.322 0.500
Zr4 0.322 0.178 0.500

---

no.,volume (Å³ per cell)
1,76.8
2,68.6
3,167.9
4,77.2
5,80.4
6,195.4